1.
Material: YCoIr
Method: DFT, PBE-GGA
State: relaxed

Results
E_tot = -8.02 eV per atom

Lattice parameters (Å, degrees): 5.0855 5.4010 7.3259 90.00 90.00 90.00
Closest atoms and distances in Å follow each position.
Space group Imma (No. 74)
Asymmetric unit:
Y  0.0000  0.2500  0.1219 [4 per cell]  6 Co 3.01-3.13, 6 Ir 3.01-3.08, 4 Y 3.16-3.24
Co  0.2500  0.2500  0.7500 [4 per cell]  2 Co 2.54, 4 Ir 2.61
Ir  0.0000  0.0000  0.5000 [4 per cell]  4 Co 2.61, 2 Ir 2.70

---

2.
Material: Y2CoIr
Method: DFT, PBE-GGA
State: relaxed

Results
E_tot = -7.44 eV per atom

Lattice parameters (Å, degrees): 3.9823 3.9823 10.0332 90.00 90.00 90.00
Closest atoms and distances in Å follow each position.
Space group I-4m2 (No. 119)
Asymmetric unit:
Y  0.0000  0.0000  0.0000 [2 per cell]  4 Ir 2.82
Y  0.0000  0.5000  0.2500 [2 per cell]  4 Co 2.82
Co  0.0000  0.5000  0.7500 [2 per cell]  4 Y 2.82
Ir  0.0000  0.0000  0.5000 [2 per cell]  4 Y 2.82

---

3.
Material: YCo2Ir
Method: DFT, PBE-GGA
State: relaxed

Results
E_tot = -7.38 eV per atom
energy above the most stable polymorph in this dataset = 224 meV per atom

Lattice parameters (Å, degrees): 3.0078 4.0328 5.4093 90.00 106.06 90.00
Closest atoms and distances in Å follow each position.
Space group Pm (No. 6)
Asymmetric unit:
Y  0.0000  0.0000  0.0000 [1 per cell]  7 Co 2.69-2.93
Co  0.6307  0.5000  0.2624 [1 per cell]  2 Co 2.32, 2 Ir 2.58
Co  0.7389  0.0000  0.4834 [1 per cell]  2 Co 2.32
Ir  0.3317  0.5000  0.6661 [1 per cell]  6 Co 2.58-2.69

---

4.
Material: Y2CoIr
Method: DFT, PBE-GGA
State: relaxed

Results
E_tot = -7.69 eV per atom

Lattice parameters (Å, degrees): 4.8218 4.8218 3.4018 90.00 90.00 90.00
Closest atoms and distances in Å follow each position.
Space group P4/mmm (No. 123)
Asymmetric unit:
Y  0.0000  0.5000  0.0000 [2 per cell]  4 Co 2.95, 4 Ir 2.95
Co  0.0000  0.0000  0.5000 [1 per cell]  8 Y 2.95
Ir  0.5000  0.5000  0.5000 [1 per cell]  8 Y 2.95

---

5.
Material: YCo2Ir
Method: DFT, PBE-GGA
State: relaxed

Results
E_tot = -7.38 eV per atom
energy above the most stable polymorph in this dataset = 217 meV per atom

Lattice parameters (Å, degrees): 6.2819 6.2819 6.2819 90.00 90.00 90.00
Closest atoms and distances in Å follow each position.
Space group Fm-3m (No. 225)
Asymmetric unit:
Y  0.0000  0.0000  0.0000 [4 per cell]  8 Co 2.72
Co  0.2500  0.2500  0.2500 [8 per cell]  4 Ir 2.72, 4 Y 2.72
Ir  0.0000  0.0000  0.5000 [4 per cell]  8 Co 2.72

---

6.
Material: ZnCoIr
Method: DFT, PBE-GGA
State: relaxed

Results
E_tot = -5.78 eV per atom
energy above the most stable polymorph in this dataset = 0 meV per atom

Lattice parameters (Å, degrees): 2.7244 2.7244 10.6521 90.00 90.00 90.00
Closest atoms and distances in Å follow each position.
Space group I4mm (No. 107)
Asymmetric unit:
Zn  0.0000  0.0000  0.0000 [2 per cell]  4 Co 2.61, 4 Ir 2.72, 4 Zn 2.72
Co  0.0000  0.0000  0.3350 [2 per cell]  4 Ir 2.54, 4 Zn 2.61, 4 Co 2.72
Ir  0.0000  0.0000  0.6800 [2 per cell]  4 Co 2.54, 4 Zn 2.72, 4 Ir 2.72

---

7.
Material: ZnCoIr
Method: DFT, PBE-GGA
State: relaxed

Results
E_tot = -5.64 eV per atom
energy above the most stable polymorph in this dataset = 138 meV per atom

Lattice parameters (Å, degrees): 2.7661 4.5466 12.9205 90.00 90.00 90.00
Closest atoms and distances in Å follow each position.
Space group Fmm2 (No. 42)
Asymmetric unit:
Zn  0.0000  0.0000  0.0000 [4 per cell]  2 Co 2.51, 2 Ir 2.64, 6 Zn 2.66-2.77
Co  0.0000  0.0000  0.6617 [4 per cell]  2 Zn 2.51, 2 Ir 2.53, 6 Co 2.66-2.77
Ir  0.0000  0.0000  0.3256 [4 per cell]  2 Co 2.53, 2 Zn 2.64, 6 Ir 2.66-2.77

---

8.
Material: Zn2CoIr2
Method: DFT, PBE-GGA
State: relaxed

Results
E_tot = -5.34 eV per atom

Lattice parameters (Å, degrees): 6.2494 6.2494 3.9188 90.00 90.00 90.00
Closest atoms and distances in Å follow each position.
Space group P4/mbm (No. 127)
Asymmetric unit:
Zn  0.1681  0.3319  0.0000 [4 per cell]  6 Ir 2.60-2.75
Co  0.0000  0.0000  0.5000 [2 per cell]  4 Ir 2.42
Ir  0.1386  0.6386  0.5000 [4 per cell]  2 Co 2.42, 1 Ir 2.45, 2 Zn 2.60